1.
# Nb3InO8

Crystalline Nb3InO8 at its relaxed geometry (PBE, the Alexandria database).

abc: 6.1856 6.1856 10.1586
angles: 90.00 90.00 120.00
Last column: nearest neighbours and their distance in Å.
Space group P6_3mc (No. 186)
One atom of each set of equivalent atoms:
Nb 0.1687 0.3373 0.0000 x6  6 O 2.05-2.09
In 0.3333 0.6667 0.2813 x2  6 O 2.15-2.26
O 0.0000 0.0000 0.0999 x2  3 Nb 2.07
O 0.0476 0.5238 0.1183 x6  2 Nb 2.05, 1 In 2.26
O 0.1640 0.3279 0.3956 x6  2 Nb 2.07, 1 In 2.15
O 0.3333 0.6667 0.8893 x2  3 Nb 2.09

Output
Formation energy from raw total energies: -2148 meV per atom

=====

2.
# Ac3Hg2Au4

Crystalline Ac3Hg2Au4 at its relaxed geometry (PBE, the Alexandria database).

abc: 11.7698 4.8526 9.4672
angles: 90.00 113.98 90.00
Last column: nearest neighbours and their distance in Å.
Space group C2/m (No. 12)
One atom of each set of equivalent atoms:
Ac 0.0000 0.0000 0.0000 x2  8 Au 3.43-3.54, 4 Hg 3.51
Ac 0.1582 0.5000 0.6780 x4  8 Au 3.34-3.65, 4 Hg 3.44-3.53
Hg 0.1253 0.5000 0.2905 x4  3 Au 2.85-2.87
Au 0.0620 0.0000 0.3987 x4  1 Au 2.84, 2 Hg 2.85
Au 0.2198 0.5000 0.0547 x4  2 Au 2.84, 1 Hg 2.87

Output
DFT formation energy: -0.72 eV per atom

=====

3.
# LiBiAu5

Crystalline LiBiAu5 at its relaxed geometry (PBE, the Alexandria database).

abc: 4.0461 4.0461 8.6765
angles: 90.00 90.00 90.00
Last column: nearest neighbours and their distance in Å.
Space group P4/mmm (No. 123)
One atom of each set of equivalent atoms:
Li 0.0000 0.0000 0.0000 x1  12 Au 2.86-2.88
Bi 0.5000 0.5000 0.5000 x1  8 Au 3.05
Au 0.0000 0.5000 0.2365 x4  6 Au 2.86-2.88, 2 Li 2.88, 2 Bi 3.05
Au 0.5000 0.5000 0.0000 x1  4 Li 2.86, 8 Au 2.88

Output
DFT formation energy: -0.18 eV per atom

=====

So what do the calculations give for E_tot? Going down the list: -8.199, -3.612, -3.349 eV per atom.
So what do the calculations give for DOS at the Fermi energy? Going down the list: 0.558, 0.550, 0.290 states/eV per atom.